NaInW2O8 | PBE with a Hubbard U | relaxed

It has space group P2/c (No. 13), with a = 10.2211 Å, b = 5.9322 Å, c = 5.1699 Å, α = 90.00°, β = 91.49° and γ = 90.00°. The asymmetric unit holds Na at (0.0000, 0.1779, 0.2500), In at (0.5000, 0.1777, 0.2500), W at (0.2562, 0.3293, 0.7494), O at (0.1405, 0.1334, 0.6243), O at (0.1663, 0.4051, 0.0602), O at (0.3662, 0.3924, 0.4428) and O at (0.3842, 0.1272, 0.8954).

For the energy above the most stable polymorph in this dataset, the calculation gives 0.000 eV per atom. As for the energy: -6.782 eV/atom. The value obtained for the spin magnetization is 0.00 μB per formula unit.